A plane-wave DFT calculation with GGA-PBEsol was carried out for a relaxed CoCuAs2N crystal.

Structure (extended XYZ):
```
5
Lattice="4.4236 0.0000 0.0000 0.0000 4.4236 0.0000 0.0000 0.0000 4.3790" Properties=species:S:1:pos:R:3 pbc="T T T"
Co 0.0000 0.0000 0.0000
Cu 0.0000 0.0000 2.1895
As 0.0000 2.2118 2.1895
As 2.2118 0.0000 2.1895
N 2.2118 2.2118 0.0000
```

Results
As for the symmetry: P4/mmm. The total moment comes out at 2.407 μB per formula unit. The calculation puts the density of states at the Fermi level at 5.32 states/eV/cell. The calculation puts the electronic total energy at -4.316 eV per atom.